Computed, not measured: a relaxed structure of V3O7 at the GGA+U level of DFT.

Structure (CIF):
```
data_V3O7
_cell_length_a 9.440
_cell_length_b 10.825
_cell_length_c 5.416
_cell_angle_alpha 90.00
_cell_angle_beta 90.00
_cell_angle_gamma 90.00
_symmetry_space_group_name_H-M 'P n m a'
_symmetry_Int_Tables_number 62
_symmetry_space_group_name_Hall '-P 2ac 2n'
loop_
_atom_site_label
_atom_site_type_symbol
_atom_site_fract_x
_atom_site_fract_y
_atom_site_fract_z
_atom_site_occupancy
V1 V 0.194 0.022 0.250 1
V2 V 0.194 0.250 0.749 1
O1 O 0.023 0.250 0.750 1
O2 O 0.025 0.036 0.250 1
O3 O 0.245 0.614 0.019 1
O4 O 0.245 0.614 0.480 1
```

Calculated values
Total energy, eV/atom: -7.5156
Density, g/cm3: 3.18
Energy relative to the lowest polymorph listed for this composition, meV/atom: 46